Record 1
Here is a relaxed YSi2Ni2Rh crystal from Alexandria. Energies are from PBE-GGA.

Cell and atoms, written as extended XYZ:
```
6
Lattice="4.469 0.000 0.000 0.000 4.469 0.000 0.000 0.000 5.286" Properties=species:S:1:pos:R:3 pbc="T T T"
Ni 2.235 2.235 3.999
Ni 2.235 2.235 1.287
Si 0.000 2.235 0.000
Si 2.235 0.000 0.000
Y 0.000 0.000 2.643
Rh 0.000 0.000 0.000
```

## Properties
Its space group is P4/mmm (123). For the formation energy from raw total energies, the calculation gives -0.191 eV/atom. The raw total energy is -6.23 eV/atom. Its total magnetization is 0.0 Bohr magnetons per cell.

Record 2
Here is a relaxed SmNiRh crystal from Alexandria. Energies are from PBE-GGA.

Cell and atoms, written as extended XYZ:
```
6
Lattice="-2.417 2.682 -3.615 -4.827 -1.482 -1.482 -4.021 3.101 1.379" Properties=species:S:1:pos:R:3 pbc="T T T"
Ni -1.209 1.341 -1.807
Ni 0.000 0.000 0.000
Sm -5.408 2.958 -3.215
Sm -5.858 1.343 -0.502
Rh -3.219 2.891 -1.118
Rh -3.622 0.600 -2.548
```

## Properties
Its space group is Imma (74). The calculation puts the formation energy at -53.5 kJ/mol of atoms. The raw total energy is -6.51 eV/atom. Its total magnetization is 0.0 Bohr magnetons per cell.

Record 3
Here is a relaxed SmNiRh2 crystal from Alexandria. Energies are from PBE-GGA.

Cell and atoms, written as extended XYZ:
```
4
Lattice="3.993 0.000 0.000 0.000 4.070 0.000 0.000 0.000 4.070" Properties=species:S:1:pos:R:3 pbc="T T T"
Rh 0.000 0.000 2.035
Rh 0.000 2.035 0.000
Ni 1.996 0.000 0.000
Sm 1.996 2.035 2.035
```

## Properties
Its space group is P4/mmm (123). The energy relative to the lowest polymorph listed for this composition is 206.1 meV/atom. The calculation puts the formation energy at -29.9 kJ/mol of atoms. The raw total energy is -6.61 eV/atom. Its total magnetization is 0.3 Bohr magnetons per cell.

Record 4
Here is a relaxed Sm2NiRh crystal from Alexandria. Energies are from PBE-GGA.

Cell and atoms, written as extended XYZ:
```
8
Lattice="4.127 0.000 0.000 0.000 5.409 -1.977 0.000 0.029 7.854" Properties=species:S:1:pos:R:3 pbc="T T T"
Ni 3.095 3.560 4.912
Ni 1.032 1.879 0.964
Sm 1.032 4.240 2.940
Sm 1.032 4.224 -1.002
Sm 3.095 1.215 6.878
Sm 3.095 1.199 2.936
Rh 3.095 3.567 0.956
Rh 1.032 1.872 4.920
```

## Properties
Its space group is P2_1/m (11). The calculation puts the formation energy at -54.8 kJ/mol of atoms. The raw total energy is -6.21 eV/atom. Its total magnetization is 0.0 Bohr magnetons per cell.

Record 5
Here is a relaxed Sm3NiRh crystal from Alexandria. Energies are from PBE-GGA.

Cell and atoms, written as extended XYZ:
```
10
Lattice="3.943 0.001 0.001 0.000 6.535 0.013 -0.002 0.009 9.544" Properties=species:S:1:pos:R:3 pbc="T T T"
Ni 2.956 6.108 7.169
Ni 0.985 0.436 2.388
Rh 2.955 3.514 7.165
Rh 0.987 3.030 2.393
Sm 2.957 1.696 0.588
Sm 0.984 4.848 8.969
Sm 0.984 1.515 7.162
Sm 2.958 5.028 2.396
Sm 0.985 4.851 5.365
Sm 2.956 1.693 4.192
```

## Properties
Its space group is P2_1/m (11). The calculation puts the formation energy at -42.6 kJ/mol of atoms. The raw total energy is -5.90 eV/atom. Its total magnetization is 0.0 Bohr magnetons per cell.

Record 6
Here is a relaxed Sm3Ni2Rh7 crystal from Alexandria. Energies are from PBE-GGA.

Cell and atoms, written as extended XYZ:
```
12
Lattice="5.057 0.000 1.583 2.281 4.514 1.583 -0.064 -0.039 9.075" Properties=species:S:1:pos:R:3 pbc="T T T"
Rh 5.605 1.886 4.285
Rh 1.669 2.588 7.956
Rh 3.067 1.886 3.490
Rh 3.637 2.237 6.120
Rh 4.208 2.588 8.750
Rh 4.212 4.152 4.285
Rh 3.063 0.322 7.956
Sm 0.986 0.607 5.720
Sm 0.000 0.000 0.000
Sm 6.288 3.868 6.521
Ni 4.829 2.970 11.183
Ni 2.445 1.504 1.058
```

## Properties
Its space group is R-3m (166). The calculation puts the formation energy at -51.6 kJ/mol of atoms. The raw total energy is -6.97 eV/atom. Its total magnetization is 0.0 Bohr magnetons per cell.

Record 7
Here is a relaxed Sm4NiRh3 crystal from Alexandria. Energies are from PBE-GGA.

Cell and atoms, written as extended XYZ:
```
8
Lattice="-1.678 2.880 2.095 -0.730 -2.676 3.094 9.661 2.438 4.388" Properties=species:S:1:pos:R:3 pbc="T T T"
Rh 8.126 3.702 5.119
Rh 3.957 0.998 1.797
Rh 5.309 0.093 4.124
Sm 2.266 0.977 4.170
Sm 7.934 0.756 5.317
Sm 1.363 0.344 0.619
Sm 5.355 3.003 3.860
Ni -0.479 0.285 2.924
```

## Properties
Its space group is Pmm2 (25). The calculation puts the formation energy at -63.3 kJ/mol of atoms. The raw total energy is -6.49 eV/atom. Its total magnetization is 0.0 Bohr magnetons per cell.

Record 8
Here is a relaxed SmNi2Rh4 crystal from Alexandria. Energies are from PBE-GGA.

Cell and atoms, written as extended XYZ:
```
7
Lattice="4.424 0.000 2.364 2.054 4.637 1.472 0.024 -0.341 5.270" Properties=species:S:1:pos:R:3 pbc="T T T"
Ni 2.147 2.147 3.961
Ni 4.355 2.149 5.144
Rh 2.148 1.840 1.298
Rh 1.343 -0.134 2.803
Rh 5.159 4.430 6.302
Rh 4.354 2.456 7.808
Sm 4.424 0.000 2.364
```

## Properties
Its space group is Immm (71). The calculation puts the formation energy at -16.6 kJ/mol of atoms. The raw total energy is -6.70 eV/atom. Its total magnetization is 1.8 Bohr magnetons per cell.

Result set for theoretical density: 5.7, 10.0, 10.4, 8.7, 8.3, 10.3, 9.0, 10.4 g/cm3, one per record in the order listed.